Record 1
## AlCr2Pb (PBE-GGA)

Data for crystalline AlCr2Pb at its relaxed geometry.

It has space group I4/mmm (No. 139), with a = 4.250 Å, b = 4.250 Å, c = 7.708 Å, α = 90.00°, β = 90.00° and γ = 90.00°. The distinct sites, in fractional coordinates, are Al at (0.000, 0.000, 0.000), Cr at (0.000, 0.500, 0.250) and Pb at (0.000, 0.000, 0.500).

The value obtained for the formation energy is 0.4842 eV/atom. The total DFT energy (no corrections) comes out at -6.190 eV per atom.


Record 2
## AlCr2Pb (PBE-GGA)

Data for crystalline AlCr2Pb at its relaxed geometry.

It has space group I-42d (No. 122), with a = 3.961 Å, b = 3.961 Å, c = 18.443 Å, α = 90.00°, β = 90.00° and γ = 90.00°. The distinct sites, in fractional coordinates, are Al at (0.000, 0.000, 0.000), Cr at (0.152, 0.250, 0.125) and Pb at (0.000, 0.000, 0.500).

The value obtained for the formation energy is 0.8323 eV/atom. The total DFT energy (no corrections) comes out at -5.842 eV per atom.


Record 3
## AlCr3Pb (PBE-GGA)

Data for crystalline AlCr3Pb at its relaxed geometry.

It has space group Pm-3m (No. 221), with a = 5.240 Å, b = 5.240 Å, c = 5.240 Å, α = 90.00°, β = 90.00° and γ = 90.00°. The distinct sites, in fractional coordinates, are Al at (0.000, 0.000, 0.000), Cr at (0.000, 0.500, 0.500) and Pb at (0.500, 0.500, 0.500).

The value obtained for the formation energy is 1.6015 eV/atom. The total DFT energy (no corrections) comes out at -5.663 eV per atom. The energy above the most stable polymorph in this dataset is 498 meV per atom.


Record 4
## Al3CrPb (PBE-GGA)

Data for crystalline Al3CrPb at its relaxed geometry.

It has space group Pm-3m (No. 221), with a = 4.762 Å, b = 4.762 Å, c = 4.762 Å, α = 90.00°, β = 90.00° and γ = 90.00°. The distinct sites, in fractional coordinates, are Al at (0.000, 0.000, 0.500), Cr at (0.000, 0.000, 0.000) and Pb at (0.500, 0.500, 0.500).

The value obtained for the formation energy is 0.4203 eV/atom. The total DFT energy (no corrections) comes out at -4.492 eV per atom. The energy above the most stable polymorph in this dataset is 0 meV per atom.


Record 5
## AlCrPb2 (PBE-GGA)

Data for crystalline AlCrPb2 at its relaxed geometry.

It has space group I-4m2 (No. 119), with a = 4.447 Å, b = 4.447 Å, c = 9.661 Å, α = 90.00°, β = 90.00° and γ = 90.00°. The distinct sites, in fractional coordinates, are Al at (0.000, 0.000, 0.000), Cr at (0.000, 0.500, 0.750), Pb at (0.000, 0.000, 0.500) and Pb at (0.000, 0.500, 0.250).

The value obtained for the formation energy is 0.4677 eV/atom. The total DFT energy (no corrections) comes out at -4.728 eV per atom.


Record 6
## AlCr2Pb (PBE-GGA)

Data for crystalline AlCr2Pb at its relaxed geometry.

It has space group P4mm (No. 99), with a = 3.026 Å, b = 3.026 Å, c = 7.978 Å, α = 90.00°, β = 90.00° and γ = 90.00°. The distinct sites, in fractional coordinates, are Al at (0.000, 0.000, 0.000), Cr at (0.000, 0.000, 0.340), Cr at (0.500, 0.500, 0.188) and Pb at (0.500, 0.500, 0.618).

The value obtained for the formation energy is 0.2823 eV/atom. The total DFT energy (no corrections) comes out at -6.392 eV per atom.


Record 7
## AlCr3Pb (PBE-GGA)

Data for crystalline AlCr3Pb at its relaxed geometry.

It has space group Pm-3m (No. 221), with a = 4.630 Å, b = 4.630 Å, c = 4.630 Å, α = 90.00°, β = 90.00° and γ = 90.00°. The distinct sites, in fractional coordinates, are Al at (0.000, 0.000, 0.000), Cr at (0.000, 0.000, 0.500) and Pb at (0.500, 0.500, 0.500).

The value obtained for the formation energy is 1.1037 eV/atom. The total DFT energy (no corrections) comes out at -6.161 eV per atom. The energy above the most stable polymorph in this dataset is 0 meV per atom.


Record 8
## TiAl2CrPb (PBE-GGA)

Data for crystalline TiAl2CrPb at its relaxed geometry.

It has space group P4/mmm (No. 123), with a = 4.635 Å, b = 4.635 Å, c = 5.001 Å, α = 90.00°, β = 90.00° and γ = 90.00°. The distinct sites, in fractional coordinates, are Ti at (0.000, 0.000, 0.000), Al at (0.000, 0.500, 0.500), Cr at (0.500, 0.500, 0.500) and Pb at (0.500, 0.500, 0.000).

The value obtained for the formation energy is 0.6724 eV/atom. The total DFT energy (no corrections) comes out at -5.070 eV per atom.


Record 9
## TiAlCrPb2 (PBE-GGA)

Data for crystalline TiAlCrPb2 at its relaxed geometry.

It has space group P4/mmm (No. 123), with a = 5.448 Å, b = 5.448 Å, c = 4.501 Å, α = 90.00°, β = 90.00° and γ = 90.00°. The distinct sites, in fractional coordinates, are Ti at (0.000, 0.000, 0.000), Al at (0.500, 0.500, 0.500), Cr at (0.000, 0.000, 0.500) and Pb at (0.000, 0.500, 0.000).

The value obtained for the formation energy is 0.8308 eV/atom. The total DFT energy (no corrections) comes out at -4.905 eV per atom.


Record 10
## ZrAl2CrPb (PBE-GGA)

Data for crystalline ZrAl2CrPb at its relaxed geometry.

It has space group P4/mmm (No. 123), with a = 5.039 Å, b = 5.039 Å, c = 5.494 Å, α = 90.00°, β = 90.00° and γ = 90.00°. The distinct sites, in fractional coordinates, are Zr at (0.000, 0.000, 0.000), Al at (0.000, 0.500, 0.500), Cr at (0.500, 0.500, 0.000) and Pb at (0.000, 0.000, 0.500).

The value obtained for the formation energy is 1.8730 eV/atom. The total DFT energy (no corrections) comes out at -4.000 eV per atom.


Record 11
## AlCr3Pd12 (PBE-GGA)

Data for crystalline AlCr3Pd12 at its relaxed geometry.

It has space group P4/mmm (No. 123), with a = 3.914 Å, b = 3.914 Å, c = 15.564 Å, α = 90.00°, β = 90.00° and γ = 90.00°. The distinct sites, in fractional coordinates, are Al at (0.000, 0.000, 0.000), Cr at (0.000, 0.000, 0.251), Cr at (0.000, 0.000, 0.500), Pd at (0.000, 0.500, 0.124), Pd at (0.000, 0.500, 0.375), Pd at (0.500, 0.500, 0.000), Pd at (0.500, 0.500, 0.249) and Pd at (0.500, 0.500, 0.500).

The value obtained for the formation energy is -0.2098 eV/atom. The total DFT energy (no corrections) comes out at -6.143 eV per atom.


Record 12
## AlCrPd (PBE-GGA)

Data for crystalline AlCrPd at its relaxed geometry.

It has space group P-6m2 (No. 187), with a = 2.7680 Å, b = 2.7680 Å, c = 12.5891 Å, α = 90.00°, β = 90.00° and γ = 120.00°. The distinct sites, in fractional coordinates, are Al at (0.0000, 0.0000, 0.1645), Cr at (0.0000, 0.0000, 0.5000), Cr at (0.6667, 0.3333, 0.0000) and Pd at (0.6667, 0.3333, 0.3302).

The value obtained for the formation energy is -0.1218 eV/atom. The total DFT energy (no corrections) comes out at -6.308 eV per atom.


Record 13
## AlCr3Pd (PBE-GGA)

Data for crystalline AlCr3Pd at its relaxed geometry.

It has space group Pm-3m (No. 221), with a = 4.664 Å, b = 4.664 Å, c = 4.664 Å, α = 90.00°, β = 90.00° and γ = 90.00°. The distinct sites, in fractional coordinates, are Al at (0.000, 0.000, 0.000), Cr at (0.000, 0.000, 0.500) and Pd at (0.500, 0.500, 0.500).

The value obtained for the formation energy is 1.3687 eV/atom. The total DFT energy (no corrections) comes out at -6.192 eV per atom. The energy above the most stable polymorph in this dataset is 86 meV per atom.


Record 14
## Al2CrPd9 (PBE-GGA)

Data for crystalline Al2CrPd9 at its relaxed geometry.

It has space group P4/mmm (No. 123), with a = 3.909 Å, b = 3.909 Å, c = 11.701 Å, α = 90.00°, β = 90.00° and γ = 90.00°. The distinct sites, in fractional coordinates, are Al at (0.000, 0.000, 0.164), Cr at (0.000, 0.000, 0.500), Pd at (0.000, 0.500, 0.000), Pd at (0.000, 0.500, 0.332), Pd at (0.500, 0.500, 0.167) and Pd at (0.500, 0.500, 0.500).

The value obtained for the formation energy is -0.4339 eV/atom. The total DFT energy (no corrections) comes out at -5.754 eV per atom.


Record 15
## Al3CrPd12 (PBE-GGA)

Data for crystalline Al3CrPd12 at its relaxed geometry.

It has space group P4/mmm (No. 123), with a = 3.907 Å, b = 3.907 Å, c = 15.616 Å, α = 90.00°, β = 90.00° and γ = 90.00°. The distinct sites, in fractional coordinates, are Al at (0.000, 0.000, 0.000), Al at (0.000, 0.000, 0.248), Cr at (0.000, 0.000, 0.500), Pd at (0.000, 0.500, 0.125), Pd at (0.000, 0.500, 0.374), Pd at (0.500, 0.500, 0.000), Pd at (0.500, 0.500, 0.250) and Pd at (0.500, 0.500, 0.500).

The value obtained for the formation energy is -0.4757 eV/atom. The total DFT energy (no corrections) comes out at -5.674 eV per atom.


Record 16
## AlCr3Pd (PBE-GGA)

Data for crystalline AlCr3Pd at its relaxed geometry.

It has space group Pm-3m (No. 221), with a = 4.821 Å, b = 4.821 Å, c = 4.821 Å, α = 90.00°, β = 90.00° and γ = 90.00°. The distinct sites, in fractional coordinates, are Al at (0.000, 0.000, 0.000), Cr at (0.000, 0.500, 0.500) and Pd at (0.500, 0.500, 0.500).

The value obtained for the formation energy is 1.2825 eV/atom. The total DFT energy (no corrections) comes out at -6.279 eV per atom. The energy above the most stable polymorph in this dataset is 0 meV per atom.


Record 17
## Al2Cr2Pd (PBE-GGA)

Data for crystalline Al2Cr2Pd at its relaxed geometry.

It has space group P4/mbm (No. 127), with a = 6.474 Å, b = 6.474 Å, c = 3.306 Å, α = 90.00°, β = 90.00° and γ = 90.00°. The distinct sites, in fractional coordinates, are Al at (0.136, 0.364, 0.000), Cr at (0.165, 0.665, 0.500) and Pd at (0.000, 0.000, 0.000).

The value obtained for the formation energy is 0.0870 eV/atom. The total DFT energy (no corrections) comes out at -6.298 eV per atom.


Record 18
## AlCrPd14 (PBE-GGA)

Data for crystalline AlCrPd14 at its relaxed geometry.

It has space group P4/mmm (No. 123), with a = 5.576 Å, b = 5.576 Å, c = 7.793 Å, α = 90.00°, β = 90.00° and γ = 90.00°. The distinct sites, in fractional coordinates, are Al at (0.000, 0.000, 0.000), Cr at (0.500, 0.500, 0.000), Pd at (0.000, 0.000, 0.500), Pd at (0.000, 0.500, 0.000), Pd at (0.000, 0.500, 0.500), Pd at (0.250, 0.250, 0.242) and Pd at (0.500, 0.500, 0.500).

The value obtained for the formation energy is -0.1757 eV/atom. The total DFT energy (no corrections) comes out at -5.555 eV per atom.


Record 19
## AlCrPdPt (PBE-GGA)

Data for crystalline AlCrPdPt at its relaxed geometry.

It has space group F-43m (No. 216), with a = 6.192 Å, b = 6.192 Å, c = 6.192 Å, α = 90.00°, β = 90.00° and γ = 90.00°. The distinct sites, in fractional coordinates, are Al at (0.000, 0.000, 0.000), Cr at (0.000, 0.000, 0.500), Pd at (0.250, 0.250, 0.250) and Pt at (0.250, 0.250, 0.750).

The value obtained for the formation energy is -0.5239 eV/atom. The total DFT energy (no corrections) comes out at -6.674 eV per atom.


Record 20
## Al2CrSiPd (PBE-GGA)

Data for crystalline Al2CrSiPd at its relaxed geometry.

It has space group P4/mmm (No. 123), with a = 4.604 Å, b = 4.604 Å, c = 4.724 Å, α = 90.00°, β = 90.00° and γ = 90.00°. The distinct sites, in fractional coordinates, are Al at (0.000, 0.500, 0.000), Cr at (0.000, 0.000, 0.500), Si at (0.500, 0.500, 0.500) and Pd at (0.000, 0.000, 0.000).

The total DFT energy (no corrections) comes out at -4.711 eV per atom. The formation energy from raw total energies comes out at 80 kJ/mol of atoms.


Record 21
## TiAlCrPd (PBE-GGA)

Data for crystalline TiAlCrPd at its relaxed geometry.

It has space group F-43m (No. 216), with a = 6.130 Å, b = 6.130 Å, c = 6.130 Å, α = 90.00°, β = 90.00° and γ = 90.00°. The distinct sites, in fractional coordinates, are Ti at (0.000, 0.000, 0.000), Al at (0.000, 0.000, 0.500), Cr at (0.250, 0.250, 0.750) and Pd at (0.250, 0.250, 0.250).

The value obtained for the formation energy is -0.3143 eV/atom. The total DFT energy (no corrections) comes out at -6.928 eV per atom.


Record 22
## PmAl11Cr (PBE-GGA)

Data for crystalline PmAl11Cr at its relaxed geometry.

It has space group C2/m (No. 12), with a = 5.236 Å, b = 12.727 Å, c = 7.138 Å, α = 90.00°, β = 110.85° and γ = 90.00°. The distinct sites, in fractional coordinates, are Pm at (0.000, 0.000, 0.000), Al at (0.000, 0.000, 0.500), Al at (0.107, 0.392, 0.226), Al at (0.200, 0.172, 0.363), Al at (0.250, 0.250, 0.000) and Cr at (0.000, 0.500, 0.500).

The value obtained for the formation energy is -0.1651 eV/atom. The total DFT energy (no corrections) comes out at -4.438 eV per atom.


Record 23
## Pm2AlCrS6 (PBE-GGA)

Data for crystalline Pm2AlCrS6 at its relaxed geometry.

It has space group P2_1/c (No. 14), with a = 6.332 Å, b = 6.889 Å, c = 11.068 Å, α = 90.00°, β = 124.31° and γ = 90.00°. The distinct sites, in fractional coordinates, are Pm at (0.213, 0.100, 0.251), Al at (0.500, 0.000, 0.000), Cr at (0.000, 0.000, 0.500), S at (0.130, 0.188, 0.948), S at (0.264, 0.689, 0.948) and S at (0.363, 0.019, 0.750).

The total DFT energy (no corrections) comes out at -6.217 eV per atom. The formation energy from raw total energies comes out at -140 kJ/mol of atoms.


Record 24
## PrAl11Cr (PBE-GGA)

Data for crystalline PrAl11Cr at its relaxed geometry.

It has space group C2/m (No. 12), with a = 5.251 Å, b = 12.743 Å, c = 7.171 Å, α = 90.00°, β = 110.84° and γ = 90.00°. The distinct sites, in fractional coordinates, are Pr at (0.000, 0.000, 0.000), Al at (0.000, 0.000, 0.500), Al at (0.108, 0.391, 0.228), Al at (0.200, 0.172, 0.364), Al at (0.250, 0.250, 0.000) and Cr at (0.000, 0.500, 0.500).

The value obtained for the formation energy is -0.1646 eV/atom. The total DFT energy (no corrections) comes out at -4.439 eV per atom.